(1)
Compound: MnAl4Ge
Source: the Alexandria database
Functional: PBE-GGA
Structure: relaxed

Summary:
Crystal system ... monoclinic
Total magnetization ... 0.482 μB/atom
Uncorrected energy ... -4.768 eV/atom
V ... 15.61 A^3/atom

abc: 3.8910 3.8913 12.6206
angles: 98.01 98.01 90.26
With the nearest neighbours (Å) after each atom.
Element x y z (fractional)
Mn 0.0816 0.5855 0.0000  4 Ge 2.74-2.76, 8 Al 2.76-2.84
Mn 0.8355 0.8316 0.5000  4 Ge 2.74-2.76, 8 Al 2.76-2.84
Al 0.5019 0.5029 0.8342  8 Al 2.74-2.93, 2 Ge 2.81-2.85, 2 Mn 2.82-2.84
Al 0.4147 0.9139 0.6658  8 Al 2.74-2.93, 2 Ge 2.81-2.85, 2 Mn 2.82-2.84
Al 0.9122 0.4109 0.6604  8 Al 2.74-2.98, 2 Mn 2.76-2.80, 2 Ge 2.77-2.79
Al 0.0043 0.0060 0.8396  8 Al 2.74-2.98, 2 Mn 2.76-2.80, 2 Ge 2.77-2.79
Al 0.7529 0.2519 0.3342  8 Al 2.74-2.93, 2 Ge 2.81-2.85, 2 Mn 2.82-2.84
Al 0.1639 0.1647 0.1658  8 Al 2.74-2.93, 2 Ge 2.81-2.85, 2 Mn 2.82-2.84
Al 0.2560 0.7544 0.3396  8 Al 2.74-2.99, 2 Mn 2.76-2.80, 2 Ge 2.77-2.79
Al 0.6609 0.6621 0.1604  8 Al 2.74-2.99, 2 Mn 2.76-2.80, 2 Ge 2.77-2.79
Ge 0.5805 0.0857 0.0000  4 Mn 2.74-2.76, 8 Al 2.77-2.85
Ge 0.3357 0.3305 0.5000  4 Mn 2.74-2.76, 8 Al 2.77-2.85


(2)
Compound: BaDyIr
Source: the Alexandria database
Functional: PBE-GGA
Structure: relaxed

Summary:
Crystal system ... orthorhombic
Total magnetization ... 0.000 μB/atom
Uncorrected energy ... -5.346 eV/atom
V ... 31.03 A^3/atom

abc: 5.0981 3.6068 14.3100
angles: 90.00 90.00 134.97
With the nearest neighbours (Å) after each atom.
Element x y z (fractional)
Ir 0.6919 0.3838 0.0000  8 Dy 2.98-2.99
Ir 0.1970 0.3940 0.5000  8 Ba 3.18
Ba 0.6967 0.3934 0.3672  4 Ir 3.18
Ba 0.6967 0.3934 0.6328  4 Ir 3.18
Dy 0.1921 0.3843 0.8915  4 Ir 2.98-2.99, 1 Dy 3.10
Dy 0.1921 0.3843 0.1085  4 Ir 2.98-2.99, 1 Dy 3.10


Question: Among the records above, which one has the lowest V?
Answer: MnAl4Ge


Question: Among the records above, which one has the lowest V?
Answer: MnAl4Ge


Question: Which value of V does entry 2 give?
Answer: 31.03 A^3/atom